Entry 1:
Ca2OsAu | GGA-PBE | relaxed

Cell: 10.1420 10.1420 10.1420 Å, 155.22 155.22 35.34°
Atoms (fractional coordinates):
Ca 0.1173 0.6250 0.9923
Ca 0.3750 0.3673 0.4923
Ca 0.6327 0.1250 0.0077
Ca 0.8750 0.8827 0.5077
Os 0.0000 0.0000 0.0000
Os 0.7500 0.2500 0.5000
Au 0.2500 0.7500 0.5000
Au 0.5000 0.5000 0.0000

Values from the calculation:
The total moment comes out at 0.146 μB per atom. Its density of states at the Fermi level is 0.4225 states/eV per atom. The space group is No. 122. The total energy is -3.9759 eV/atom. Its volume is 183.1 Å³/cell.

=====

Entry 2:
V2CrNiGe | GGA-PBE | relaxed

Cell: 4.4645 4.4645 4.1328 Å, 90.00 90.00 90.00°
Atoms (fractional coordinates):
V 0.0000 0.5000 0.0000
V 0.5000 0.0000 0.0000
Cr 0.0000 0.0000 0.5000
Ni 0.5000 0.5000 0.5000
Ge 0.5000 0.5000 0.0000

Values from the calculation:
The total moment comes out at 0.000 μB per atom. Its density of states at the Fermi level is 1.2358 states/eV per atom. The space group is No. 123. The total energy is -6.4642 eV/atom. Its volume is 82.4 Å³/cell.

=====

Among the records above, which one has the highest total moment?
Ca2OsAu

=====

Which formula does entry 1 have?
Ca2OsAu

=====

Please write out number 2 again, unchanged.
V2CrNiGe | GGA-PBE | relaxed

Cell: 4.4645 4.4645 4.1328 Å, 90.00 90.00 90.00°
Atoms (fractional coordinates):
V 0.0000 0.5000 0.0000
V 0.5000 0.0000 0.0000
Cr 0.0000 0.0000 0.5000
Ni 0.5000 0.5000 0.5000
Ge 0.5000 0.5000 0.0000

Values from the calculation:
The total moment comes out at 0.000 μB per atom. Its density of states at the Fermi level is 1.2358 states/eV per atom. The space group is No. 123. The total energy is -6.4642 eV/atom. Its volume is 82.4 Å³/cell.